Record 1
{"formula": "Na5Tl4", "functional": "GGA-PBE", "state": "optimized geometry", "e_form_mev_per_atom": -95, "relative_energy_ev_per_fu": 0.11, "cell": [[-5.265, 5.265, 2.380], [5.265, -5.265, 2.380], [5.265, 5.265, -2.380]], "species": ["Na", "Na", "Na", "Na", "Na", "Tl", "Tl", "Tl", "Tl"], "frac_coords": [[0.000, 0.000, 0.000], [0.000, 0.321, 0.321], [0.000, 0.679, 0.679], [0.321, 0.000, 0.321], [0.679, 0.000, 0.679], [0.330, 0.330, 0.661], [0.330, 0.670, 0.000], [0.670, 0.330, 0.000], [0.670, 0.670, 0.339]]}

Record 2
{"formula": "Gd2MgZr", "functional": "GGA-PBE", "state": "optimized geometry", "e_form_mev_per_atom": 95, "relative_energy_ev_per_fu": 0.40, "cell": [[5.609, 0.000, 0.000], [0.000, 5.609, 0.000], [0.000, 0.000, 3.476]], "species": ["Gd", "Gd", "Mg", "Zr"], "frac_coords": [[0.000, 0.500, 0.000], [0.500, 0.000, 0.000], [0.000, 0.000, 0.500], [0.500, 0.500, 0.500]]}

Record 3
{"formula": "SmMgP2Ir5", "functional": "GGA-PBE", "state": "optimized geometry", "e_form_mev_per_atom": -396, "cell": [[4.020, 0.000, 0.000], [0.000, 4.020, 0.000], [0.000, 0.000, 10.370]], "species": ["Sm", "Mg", "P", "P", "Ir", "Ir", "Ir", "Ir", "Ir"], "frac_coords": [[0.000, 0.000, 0.000], [0.000, 0.000, 0.500], [0.500, 0.500, 0.220], [0.500, 0.500, 0.780], [0.000, 0.500, 0.325], [0.000, 0.500, 0.675], [0.500, 0.000, 0.325], [0.500, 0.000, 0.675], [0.500, 0.500, 0.000]]}

Record 4
{"formula": "CaTiNb2N4", "functional": "GGA-PBE", "state": "optimized geometry", "e_form_raw_ev_per_atom": -1.12, "cell": [[1.586, -5.483, 0.000], [1.586, 5.483, 0.000], [0.000, 0.000, 11.309]], "species": ["Ca", "Ca", "Ti", "Ti", "Nb", "Nb", "Nb", "Nb", "N", "N", "N", "N", "N", "N", "N", "N"], "frac_coords": [[0.112, 0.888, 0.750], [0.888, 0.112, 0.250], [0.155, 0.845, 0.250], [0.845, 0.155, 0.750], [0.368, 0.632, 0.538], [0.368, 0.632, 0.962], [0.632, 0.368, 0.038], [0.632, 0.368, 0.462], [0.000, 0.000, 0.000], [0.000, 0.000, 0.500], [0.264, 0.736, 0.115], [0.264, 0.736, 0.385], [0.447, 0.553, 0.750], [0.553, 0.447, 0.250], [0.736, 0.264, 0.615], [0.736, 0.264, 0.885]]}

Record 5
{"formula": "RbBi2Pd2", "functional": "GGA-PBE", "state": "optimized geometry", "e_form_mev_per_atom": -283, "cell": [[6.516, 0.000, 0.000], [3.248, 6.065, 0.000], [3.236, 0.000, 7.337]], "species": ["Rb", "Rb", "Bi", "Bi", "Bi", "Bi", "Pd", "Pd", "Pd", "Pd"], "frac_coords": [[0.125, 0.249, 0.250], [0.875, 0.751, 0.750], [0.181, 0.138, 0.750], [0.433, 0.635, 0.250], [0.567, 0.365, 0.750], [0.819, 0.862, 0.250], [0.274, 0.752, 0.947], [0.474, 0.752, 0.553], [0.526, 0.248, 0.447], [0.726, 0.248, 0.053]]}

Record 6
{"formula": "Pm2InGePt6", "functional": "GGA-PBE", "state": "optimized geometry", "e_form_mev_per_atom": -739, "cell": [[5.656, 0.000, 0.000], [2.823, 4.902, 0.000], [2.765, 1.617, 8.317]], "species": ["Pm", "Pm", "In", "Ge", "Pt", "Pt", "Pt", "Pt", "Pt", "Pt"], "frac_coords": [[0.202, 0.202, 0.392], [0.798, 0.798, 0.608], [0.000, 0.000, 0.000], [0.500, 0.500, 0.500], [0.236, 0.744, 0.274], [0.256, 0.255, 0.727], [0.256, 0.764, 0.726], [0.744, 0.236, 0.274], [0.744, 0.745, 0.273], [0.764, 0.256, 0.726]]}

Taking the records one at a time from the top gives Fermi-level density of states values of 4.720, 5.787, 5.404, 2.912, 2.271, 3.695 states/eV/f.u..
Taking the records one at a time from the top gives energy values of -16.912, -37.923, -65.000, -144.604, -41.058, -60.488 eV for the cell shown.